! ScP2Br (PBE, relaxed); values from VASP
&SYSTEM
  ibrav = 0, nat = 4, ntyp = 3
/
ATOMIC_SPECIES
Sc 44.96 Sc.upf
P 30.97 P.upf
Br 79.90 Br.upf
CELL_PARAMETERS angstrom
2.706 -4.115 0.000
2.706 4.115 0.000
0.000 0.000 3.403
ATOMIC_POSITIONS angstrom
Sc 0.000 0.000 0.000
P 1.353 2.058 1.701
P 1.353 -2.058 1.701
Br 2.706 0.000 0.000
! SG: Cmmm, No. 65
! Spin magnetization (μB/atom): 0.000
! Total energy (eV per atom): -4.69
! Crystal system: orthorhombic
! Energy above the lowest structure with this stoichiometry (kJ/mol of formula units): 331
! Uncorrected formation energy (meV per atom): 18